1.
# MoIr PBE relaxed
data_MoIr
_cell_length_a 3.304
_cell_length_b 3.304
_cell_length_c 5.684
_cell_angle_alpha 90.00
_cell_angle_beta 90.00
_cell_angle_gamma 90.00
_symmetry_space_group_name_H-M 'P 1'
_symmetry_Int_Tables_number 1
_symmetry_space_group_name_Hall 'P 1'
loop_
_atom_site_label
_atom_site_type_symbol
_atom_site_fract_x
_atom_site_fract_y
_atom_site_fract_z
_atom_site_occupancy
Ir1 Ir 0.500 0.500 0.261 1
Ir2 Ir 0.000 0.000 0.989 1
Mo1 Mo 0.000 0.000 0.482 1
Mo2 Mo 0.500 0.500 0.768 1
# - Calculated total energy: -9.795 eV per atom
# - Volume: 15.51 Å³ per atom
# - Fermi-level density of states: 0.828 states/eV per atom
# - Energy of formation: 0.051 eV/atom



2.
# Mo5Ir3 PBE relaxed
data_Mo5Ir3
_cell_length_a 5.588
_cell_length_b 5.588
_cell_length_c 3.915
_cell_angle_alpha 90.00
_cell_angle_beta 90.00
_cell_angle_gamma 90.40
_symmetry_space_group_name_H-M 'P 1'
_symmetry_Int_Tables_number 1
_symmetry_space_group_name_Hall 'P 1'
loop_
_atom_site_label
_atom_site_type_symbol
_atom_site_fract_x
_atom_site_fract_y
_atom_site_fract_z
_atom_site_occupancy
Ir1 Ir 0.500 0.500 0.000 1
Ir2 Ir 0.251 0.251 0.500 1
Ir3 Ir 0.749 0.749 0.500 1
Mo1 Mo 0.000 0.000 0.000 1
Mo2 Mo 0.745 0.255 0.500 1
Mo3 Mo 0.000 0.500 0.000 1
Mo4 Mo 0.255 0.745 0.500 1
Mo5 Mo 0.500 0.000 0.000 1
# - Energy relative to the lowest polymorph listed for this composition: 0 kJ/mol of formula units
# - Calculated total energy: -10.239 eV per atom
# - Volume: 15.28 Å³ per atom
# - Fermi-level density of states: 0.780 states/eV per atom
# - Energy of formation: -0.147 eV/atom



3.
# Mo4Ir3 PBE relaxed
data_Mo4Ir3
_cell_length_a 10.258
_cell_length_b 10.258
_cell_length_c 10.258
_cell_angle_alpha 161.48
_cell_angle_beta 161.48
_cell_angle_gamma 26.31
_symmetry_space_group_name_H-M 'P 1'
_symmetry_Int_Tables_number 1
_symmetry_space_group_name_Hall 'P 1'
loop_
_atom_site_label
_atom_site_type_symbol
_atom_site_fract_x
_atom_site_fract_y
_atom_site_fract_z
_atom_site_occupancy
Ir1 Ir 0.000 0.000 0.000 1
Ir2 Ir 0.712 0.712 0.000 1
Ir3 Ir 0.288 0.288 0.000 1
Mo1 Mo 0.573 0.573 0.000 1
Mo2 Mo 0.427 0.427 0.000 1
Mo3 Mo 0.853 0.853 0.000 1
Mo4 Mo 0.147 0.147 0.000 1
# - Energy relative to the lowest polymorph listed for this composition: 120 kJ/mol of formula units
# - Calculated total energy: -9.874 eV per atom
# - Volume: 15.55 Å³ per atom
# - Fermi-level density of states: 1.182 states/eV per atom
# - Energy of formation: 0.113 eV/atom



4.
# Mo4Ir PBE relaxed
data_Mo4Ir
_cell_length_a 5.169
_cell_length_b 5.169
_cell_length_c 5.169
_cell_angle_alpha 95.68
_cell_angle_beta 95.68
_cell_angle_gamma 143.33
_symmetry_space_group_name_H-M 'P 1'
_symmetry_Int_Tables_number 1
_symmetry_space_group_name_Hall 'P 1'
loop_
_atom_site_label
_atom_site_type_symbol
_atom_site_fract_x
_atom_site_fract_y
_atom_site_fract_z
_atom_site_occupancy
Mo1 Mo 0.193 0.389 0.583 1
Mo2 Mo 0.807 0.611 0.417 1
Mo3 Mo 0.389 0.807 0.196 1
Mo4 Mo 0.611 0.193 0.804 1
Ir1 Ir 0.000 0.000 0.000 1
# - Energy relative to the lowest polymorph listed for this composition: 0 kJ/mol of formula units
# - Calculated total energy: -10.382 eV per atom
# - Volume: 15.66 Å³ per atom
# - Fermi-level density of states: 1.167 states/eV per atom
# - Energy of formation: 0.056 eV/atom



5.
# MoIr PBE relaxed
data_MoIr
_cell_length_a 4.452
_cell_length_b 2.786
_cell_length_c 4.846
_cell_angle_alpha 90.00
_cell_angle_beta 90.00
_cell_angle_gamma 90.00
_symmetry_space_group_name_H-M 'P 1'
_symmetry_Int_Tables_number 1
_symmetry_space_group_name_Hall 'P 1'
loop_
_atom_site_label
_atom_site_type_symbol
_atom_site_fract_x
_atom_site_fract_y
_atom_site_fract_z
_atom_site_occupancy
Ir1 Ir 0.250 0.500 0.323 1
Ir2 Ir 0.750 0.500 0.677 1
Mo1 Mo 0.750 0.000 0.172 1
Mo2 Mo 0.250 0.000 0.828 1
# - Calculated total energy: -10.167 eV per atom
# - Volume: 15.02 Å³ per atom
# - Fermi-level density of states: 0.768 states/eV per atom
# - Energy of formation: -0.321 eV/atom



6.
# MoIr PBE relaxed
data_MoIr
_cell_length_a 7.516
_cell_length_b 7.516
_cell_length_c 4.966
_cell_angle_alpha 90.00
_cell_angle_beta 90.00
_cell_angle_gamma 120.00
_symmetry_space_group_name_H-M 'P 1'
_symmetry_Int_Tables_number 1
_symmetry_space_group_name_Hall 'P 1'
loop_
_atom_site_label
_atom_site_type_symbol
_atom_site_fract_x
_atom_site_fract_y
_atom_site_fract_z
_atom_site_occupancy
Ir1 Ir 0.700 0.700 0.250 1
Ir2 Ir 0.300 0.000 0.250 1
Ir3 Ir 0.300 0.300 0.750 1
Ir4 Ir 0.000 0.300 0.250 1
Ir5 Ir 0.700 0.000 0.750 1
Ir6 Ir 0.000 0.700 0.750 1
Mo1 Mo 0.000 0.632 0.250 1
Mo2 Mo 0.632 0.000 0.250 1
Mo3 Mo 0.000 0.368 0.750 1
Mo4 Mo 0.368 0.368 0.250 1
Mo5 Mo 0.368 0.000 0.750 1
Mo6 Mo 0.632 0.632 0.750 1
# - Calculated total energy: -9.069 eV per atom
# - Volume: 20.25 Å³ per atom
# - Fermi-level density of states: 0.971 states/eV per atom
# - Energy of formation: 0.777 eV/atom



7.
# MoIr5 PBE relaxed
data_MoIr5
_cell_length_a 5.103
_cell_length_b 5.103
_cell_length_c 5.103
_cell_angle_alpha 60.00
_cell_angle_beta 60.00
_cell_angle_gamma 60.00
_symmetry_space_group_name_H-M 'P 1'
_symmetry_Int_Tables_number 1
_symmetry_space_group_name_Hall 'P 1'
loop_
_atom_site_label
_atom_site_type_symbol
_atom_site_fract_x
_atom_site_fract_y
_atom_site_fract_z
_atom_site_occupancy
Ir1 Ir 0.874 0.375 0.375 1
Ir2 Ir 0.375 0.874 0.375 1
Ir3 Ir 0.375 0.375 0.874 1
Ir4 Ir 0.375 0.375 0.375 1
Ir5 Ir 0.750 0.750 0.750 1
Mo1 Mo 0.000 0.000 0.000 1
# - Energy relative to the lowest polymorph listed for this composition: 354 kJ/mol of formula units
# - Calculated total energy: -8.783 eV per atom
# - Volume: 15.66 Å³ per atom
# - Fermi-level density of states: 1.363 states/eV per atom
# - Energy of formation: 0.407 eV/atom



8.
# Mo2Ir PBE relaxed
data_Mo2Ir
_cell_length_a 12.794
_cell_length_b 12.794
_cell_length_c 12.794
_cell_angle_alpha 167.69
_cell_angle_beta 167.69
_cell_angle_gamma 17.45
_symmetry_space_group_name_H-M 'P 1'
_symmetry_Int_Tables_number 1
_symmetry_space_group_name_Hall 'P 1'
loop_
_atom_site_label
_atom_site_type_symbol
_atom_site_fract_x
_atom_site_fract_y
_atom_site_fract_z
_atom_site_occupancy
Ir1 Ir 0.000 0.000 0.000 1
Ir2 Ir 0.750 0.250 0.500 1
Mo1 Mo 0.422 0.422 0.000 1
Mo2 Mo 0.578 0.578 0.000 1
Mo3 Mo 0.328 0.828 0.500 1
Mo4 Mo 0.172 0.672 0.500 1
# - Energy relative to the lowest polymorph listed for this composition: 73 kJ/mol of formula units
# - Calculated total energy: -10.070 eV per atom
# - Volume: 15.87 Å³ per atom
# - Fermi-level density of states: 0.799 states/eV per atom
# - Energy of formation: 0.104 eV/atom



9.
# Mo4Ir5 PBE relaxed
data_Mo4Ir5
_cell_length_a 6.233
_cell_length_b 6.233
_cell_length_c 6.233
_cell_angle_alpha 95.50
_cell_angle_beta 95.50
_cell_angle_gamma 143.92
_symmetry_space_group_name_H-M 'P 1'
_symmetry_Int_Tables_number 1
_symmetry_space_group_name_Hall 'P 1'
loop_
_atom_site_label
_atom_site_type_symbol
_atom_site_fract_x
_atom_site_fract_y
_atom_site_fract_z
_atom_site_occupancy
Mo1 Mo 0.000 0.327 0.327 1
Mo2 Mo 0.000 0.673 0.673 1
Mo3 Mo 0.673 0.000 0.673 1
Mo4 Mo 0.327 0.000 0.327 1
Ir1 Ir 0.667 0.667 0.334 1
Ir2 Ir 0.333 0.333 0.666 1
Ir3 Ir 0.667 0.333 0.000 1
Ir4 Ir 0.333 0.667 0.000 1
Ir5 Ir 0.000 0.000 0.000 1
# - Energy relative to the lowest polymorph listed for this composition: 0 kJ/mol of formula units
# - Calculated total energy: -9.907 eV per atom
# - Volume: 15.07 Å³ per atom
# - Fermi-level density of states: 1.092 states/eV per atom
# - Energy of formation: -0.170 eV/atom



10.
# MoIr5 PBE relaxed
data_MoIr5
_cell_length_a 3.884
_cell_length_b 4.766
_cell_length_c 5.490
_cell_angle_alpha 106.78
_cell_angle_beta 90.00
_cell_angle_gamma 114.05
_symmetry_space_group_name_H-M 'P 1'
_symmetry_Int_Tables_number 1
_symmetry_space_group_name_Hall 'P 1'
loop_
_atom_site_label
_atom_site_type_symbol
_atom_site_fract_x
_atom_site_fract_y
_atom_site_fract_z
_atom_site_occupancy
Ir1 Ir 0.362 0.723 0.723 1
Ir2 Ir 0.356 0.712 0.215 1
Ir3 Ir 0.694 0.389 0.389 1
Ir4 Ir 0.027 0.054 0.055 1
Ir5 Ir 0.033 0.066 0.563 1
Mo1 Mo 0.694 0.389 0.889 1
# - Energy relative to the lowest polymorph listed for this composition: 13 kJ/mol of formula units
# - Calculated total energy: -9.372 eV per atom
# - Volume: 14.67 Å³ per atom
# - Fermi-level density of states: 0.675 states/eV per atom
# - Energy of formation: -0.183 eV/atom



11.
# MoIr PBE relaxed
data_MoIr
_cell_length_a 4.879
_cell_length_b 5.246
_cell_length_c 2.771
_cell_angle_alpha 74.68
_cell_angle_beta 90.00
_cell_angle_gamma 117.37
_symmetry_space_group_name_H-M 'P 1'
_symmetry_Int_Tables_number 1
_symmetry_space_group_name_Hall 'P 1'
loop_
_atom_site_label
_atom_site_type_symbol
_atom_site_fract_x
_atom_site_fract_y
_atom_site_fract_z
_atom_site_occupancy
Mo1 Mo 0.581 0.504 0.748 1
Mo2 Mo 0.503 0.996 0.502 1
Ir1 Ir 0.998 0.998 0.001 1
Ir2 Ir 0.085 0.502 0.249 1
# - Calculated total energy: -10.079 eV per atom
# - Volume: 15.03 Å³ per atom
# - Fermi-level density of states: 0.746 states/eV per atom
# - Energy of formation: -0.233 eV/atom



12.
# MoIr3N PBE relaxed
data_MoIr3N
_cell_length_a 4.746
_cell_length_b 4.746
_cell_length_c 4.746
_cell_angle_alpha 90.00
_cell_angle_beta 90.00
_cell_angle_gamma 90.00
_symmetry_space_group_name_H-M 'P 1'
_symmetry_Int_Tables_number 1
_symmetry_space_group_name_Hall 'P 1'
loop_
_atom_site_label
_atom_site_type_symbol
_atom_site_fract_x
_atom_site_fract_y
_atom_site_fract_z
_atom_site_occupancy
Ir1 Ir 0.000 0.000 0.500 1
Ir2 Ir 0.000 0.500 0.000 1
Ir3 Ir 0.500 0.000 0.000 1
Mo1 Mo 0.000 0.000 0.000 1
N1 N 0.500 0.500 0.500 1
# - Energy relative to the lowest polymorph listed for this composition: 1003 kJ/mol of formula units
# - Calculated total energy: -6.346 eV per atom
# - Formation energy without anion corrections: 270.39 kJ per mole of atoms
# - Volume: 21.38 Å³ per atom
# - Fermi-level density of states: 0.911 states/eV per atom



Repeat the eleventh record exactly.
# MoIr PBE relaxed
data_MoIr
_cell_length_a 4.879
_cell_length_b 5.246
_cell_length_c 2.771
_cell_angle_alpha 74.68
_cell_angle_beta 90.00
_cell_angle_gamma 117.37
_symmetry_space_group_name_H-M 'P 1'
_symmetry_Int_Tables_number 1
_symmetry_space_group_name_Hall 'P 1'
loop_
_atom_site_label
_atom_site_type_symbol
_atom_site_fract_x
_atom_site_fract_y
_atom_site_fract_z
_atom_site_occupancy
Mo1 Mo 0.581 0.504 0.748 1
Mo2 Mo 0.503 0.996 0.502 1
Ir1 Ir 0.998 0.998 0.001 1
Ir2 Ir 0.085 0.502 0.249 1
# - Calculated total energy: -10.079 eV per atom
# - Volume: 15.03 Å³ per atom
# - Fermi-level density of states: 0.746 states/eV per atom
# - Energy of formation: -0.233 eV/atom



- What is the Fermi-level density of states in the eleventh record?
  0.746 states/eV per atom